5
Lattice="-2.517 3.936 -2.413 -4.598 -1.889 1.714 0.416 2.931 4.346" Properties=species:S:1:pos:R:3 comment="Ag3SbS PBE-GGA relaxed" formation_energy_uncorrected_mev_per_atom=715 de_polymorph_ev_per_atom=0.633 spacegroup=Pm-3m pbc="T T T"
Ag 0.208 1.465 2.173
Ag -2.299 -0.944 0.857
Ag -1.258 1.968 -1.207
S -3.349 2.489 1.823
Sb 0.000 0.000 0.000

***

20
Lattice="-0.887 -5.777 -3.495 -2.786 -5.284 3.271 -9.786 2.466 -2.927" Properties=species:S:1:pos:R:3 comment="Ag3SbS PBE-GGA relaxed" formation_energy_uncorrected_mev_per_atom=83 de_polymorph_ev_per_atom=0.000 spacegroup=C2/c pbc="T T T"
Ag -2.229 -4.831 -2.573
Ag -4.905 -2.839 -1.712
Ag -6.290 -8.096 -1.004
Ag -2.365 -1.708 -0.368
Ag -5.146 -5.307 -3.357
Ag -8.313 -3.288 0.207
Ag -11.230 -3.764 -0.577
Ag -8.554 -5.756 -1.438
Ag -10.079 -1.533 -2.175
Ag -11.094 -6.886 -2.782
Ag -3.380 -7.062 -0.976
Ag -7.169 -0.498 -2.147
Sb -6.806 -2.958 -3.866
Sb -10.421 -4.696 -4.754
Sb -3.038 -3.898 1.603
Sb -6.653 -5.637 0.716
S -4.426 -4.877 -0.334
S -9.033 -3.718 -2.817
S -0.444 -2.889 -1.747
S -6.286 -1.409 0.172

***

5
Lattice="-2.911 3.885 -0.560 -3.663 -2.939 -1.352 -1.412 -0.386 4.663" Properties=species:S:1:pos:R:3 comment="Ag3SbS PBE-GGA relaxed" formation_energy_uncorrected_mev_per_atom=352 de_polymorph_ev_per_atom=0.270 spacegroup=Pm-3m pbc="T T T"
Ag -1.831 -1.470 -0.676
Ag -1.456 1.943 -0.280
Ag -0.706 -0.193 2.331
Sb -3.993 0.280 1.375
S 0.000 0.000 0.000

***

5
Lattice="5.324 0.000 0.000 0.000 5.324 0.000 0.000 0.000 5.324" Properties=species:S:1:pos:R:3 comment="AgSb3S PBE-GGA relaxed" formation_energy_uncorrected_mev_per_atom=914 spacegroup=Pm-3m pbc="T T T"
S 2.662 2.662 2.662
Sb 2.662 0.000 0.000
Sb 0.000 0.000 2.662
Sb 0.000 2.662 0.000
Ag 0.000 0.000 0.000